Density functional theory data (PBE with a Hubbard U) for a geometry-optimized K2CdNiF6 structure.

Output
VASP energy: -0.1526 Ha/atom
Space group: Pmmn (59)

```
K2CdNiF6
1.0
-3.163 -0.452 -5.100
-3.411 -4.293 2.496
-5.406 5.939 2.827
K Cd Ni F
4 2 2 12
Cartesian
-5.493 -1.963 0.029
-4.905 3.383 2.743
-8.197 1.008 1.443
-2.203 0.414 1.330
-5.259 -0.247 3.284
-2.436 -1.302 -1.925
-5.135 1.673 -0.514
-2.560 -3.222 1.873
-3.850 0.262 -1.186
-6.420 3.086 0.157
-3.846 -1.811 2.546
-6.682 1.305 4.029
-3.573 2.801 0.105
-5.076 2.586 -2.319
-5.193 0.761 1.292
-6.698 0.547 -1.135
-4.161 -2.547 -2.606
-2.503 -2.310 0.067
-4.123 -4.350 1.255
-5.783 -4.587 -1.422
```